Entry from the Alexandria database: a relaxed structure of CdGaCo2W (GGA-PBE).

Cell and atoms, written as CIF:
```
data_CdGaCo2W
_chemical_formula_sum 'Cd1 Ga1 Co2 W1'
_space_group_name_H-M_alt 'P 4/m m m'
_space_group_IT_number 123
_space_group_name_Hall '-P 4 2'
_cell_length_a 4.4969
_cell_length_b 4.4969
_cell_length_c 4.9109
_cell_angle_alpha 90.00
_cell_angle_beta 90.00
_cell_angle_gamma 90.00
loop_
_atom_site_label
_atom_site_fract_x
_atom_site_fract_y
_atom_site_fract_z
_atom_site_occupancy
Cd1 0.0000 0.0000 0.0000 1
Ga1 0.5000 0.5000 0.0000 1
Co1 0.0000 0.5000 0.5000 1
W1 0.5000 0.5000 0.5000 1
```

Properties
Spin magnetization ... 0.4 μB per cell
Crystal system ... tetragonal
Formation energy from the elements ... 1173 meV/atom

***

Entry from the Alexandria database: a relaxed structure of ZnCd2GaCo (GGA-PBE).

Cell and atoms, written as CIF:
```
data_ZnCd2GaCo
_chemical_formula_sum 'Zn1 Cd2 Ga1 Co1'
_space_group_name_H-M_alt 'P 4/m m m'
_space_group_IT_number 123
_space_group_name_Hall '-P 4 2'
_cell_length_a 5.0740
_cell_length_b 5.0740
_cell_length_c 4.5603
_cell_angle_alpha 90.00
_cell_angle_beta 90.00
_cell_angle_gamma 90.00
loop_
_atom_site_label
_atom_site_fract_x
_atom_site_fract_y
_atom_site_fract_z
_atom_site_occupancy
Zn1 0.0000 0.0000 0.0000 1
Cd1 0.0000 0.5000 0.5000 1
Ga1 0.5000 0.5000 0.5000 1
Co1 0.5000 0.5000 0.0000 1
```

Properties
Spin magnetization ... 1.8 μB per cell
Crystal system ... tetragonal
Excess energy over the best structure of this formula in the dataset ... 0.366 eV per atom
Formation energy from the elements ... 686 meV/atom

***

Entry from the Alexandria database: a relaxed structure of ZnCdGa2Co (GGA-PBE).

Cell and atoms, written as CIF:
```
data_ZnCdGa2Co
_chemical_formula_sum 'Zn1 Cd1 Ga2 Co1'
_space_group_name_H-M_alt 'P 4/m m m'
_space_group_IT_number 123
_space_group_name_Hall '-P 4 2'
_cell_length_a 4.5529
_cell_length_b 4.5529
_cell_length_c 4.7193
_cell_angle_alpha 90.00
_cell_angle_beta 90.00
_cell_angle_gamma 90.00
loop_
_atom_site_label
_atom_site_fract_x
_atom_site_fract_y
_atom_site_fract_z
_atom_site_occupancy
Zn1 0.0000 0.0000 0.0000 1
Cd1 0.5000 0.5000 0.0000 1
Ga1 0.0000 0.5000 0.5000 1
Co1 0.0000 0.0000 0.5000 1
```

Properties
Spin magnetization ... 0.0 μB per cell
Crystal system ... tetragonal
Formation energy from the elements ... 55 meV/atom

***

Entry from the Alexandria database: a relaxed structure of ZnCd2GaCo (GGA-PBE).

Cell and atoms, written as CIF:
```
data_ZnCd2GaCo
_chemical_formula_sum 'Zn1 Cd2 Ga1 Co1'
_space_group_name_H-M_alt 'P 4/m m m'
_space_group_IT_number 123
_space_group_name_Hall '-P 4 2'
_cell_length_a 4.9927
_cell_length_b 4.9927
_cell_length_c 4.5141
_cell_angle_alpha 90.00
_cell_angle_beta 90.00
_cell_angle_gamma 90.00
loop_
_atom_site_label
_atom_site_fract_x
_atom_site_fract_y
_atom_site_fract_z
_atom_site_occupancy
Zn1 0.0000 0.0000 0.0000 1
Cd1 0.0000 0.5000 0.5000 1
Ga1 0.5000 0.5000 0.0000 1
Co1 0.5000 0.5000 0.5000 1
```

Properties
Spin magnetization ... 0.0 μB per cell
Crystal system ... tetragonal
Excess energy over the best structure of this formula in the dataset ... 0.000 eV per atom
Formation energy from the elements ... 321 meV/atom

***

Entry from the Alexandria database: a relaxed structure of Gd3CdCo (GGA-PBE).

Cell and atoms, written as CIF:
```
data_Gd3CdCo
_chemical_formula_sum 'Gd3 Cd1 Co1'
_space_group_name_H-M_alt 'P m -3 m'
_space_group_IT_number 221
_space_group_name_Hall '-P 4 2 3'
_cell_length_a 5.2110
_cell_length_b 5.2110
_cell_length_c 5.2110
_cell_angle_alpha 90.00
_cell_angle_beta 90.00
_cell_angle_gamma 90.00
loop_
_atom_site_label
_atom_site_fract_x
_atom_site_fract_y
_atom_site_fract_z
_atom_site_occupancy
Gd1 0.0000 0.0000 0.5000 1
Cd1 0.5000 0.5000 0.5000 1
Co1 0.0000 0.0000 0.0000 1
```

Properties
Spin magnetization ... 22.0 μB per cell
Crystal system ... cubic
Formation energy from the elements ... -122 meV/atom

***

Entry from the Alexandria database: a relaxed structure of GdCdCo4 (GGA-PBE).

Cell and atoms, written as CIF:
```
data_GdCdCo4
_chemical_formula_sum 'Gd4 Cd4 Co16'
_space_group_name_H-M_alt 'F -4 3 m'
_space_group_IT_number 216
_space_group_name_Hall 'F -4 2 3'
_cell_length_a 7.0910
_cell_length_b 7.0910
_cell_length_c 7.0910
_cell_angle_alpha 90.00
_cell_angle_beta 90.00
_cell_angle_gamma 90.00
loop_
_atom_site_label
_atom_site_fract_x
_atom_site_fract_y
_atom_site_fract_z
_atom_site_occupancy
Gd1 0.0000 0.0000 0.0000 1
Cd1 0.2500 0.2500 0.7500 1
Co1 0.1244 0.1244 0.3756 1
```

Properties
Spin magnetization ... 7.6 μB per cell
Crystal system ... cubic
Formation energy from the elements ... -84 meV/atom

***

Entry from the Alexandria database: a relaxed structure of Gd2CdCo (GGA-PBE).

Cell and atoms, written as CIF:
```
data_Gd2CdCo
_chemical_formula_sum 'Gd2 Cd1 Co1'
_space_group_name_H-M_alt 'P 4/m m m'
_space_group_IT_number 123
_space_group_name_Hall '-P 4 2'
_cell_length_a 3.4570
_cell_length_b 3.4570
_cell_length_c 7.7503
_cell_angle_alpha 90.00
_cell_angle_beta 90.00
_cell_angle_gamma 90.00
loop_
_atom_site_label
_atom_site_fract_x
_atom_site_fract_y
_atom_site_fract_z
_atom_site_occupancy
Gd1 0.0000 0.0000 0.2126 1
Cd1 0.5000 0.5000 0.5000 1
Co1 0.5000 0.5000 0.0000 1
```

Properties
Spin magnetization ... 13.6 μB per cell
Crystal system ... tetragonal
Excess energy over the best structure of this formula in the dataset ... 0.000 eV per atom
Formation energy from the elements ... -230 meV/atom

***

Entry from the Alexandria database: a relaxed structure of Gd2CdCo (GGA-PBE).

Cell and atoms, written as CIF:
```
data_Gd2CdCo
_chemical_formula_sum 'Gd8 Cd4 Co4'
_space_group_name_H-M_alt 'F m -3 m'
_space_group_IT_number 225
_space_group_name_Hall '-F 4 2 3'
_cell_length_a 7.2008
_cell_length_b 7.2008
_cell_length_c 7.2008
_cell_angle_alpha 90.00
_cell_angle_beta 90.00
_cell_angle_gamma 90.00
loop_
_atom_site_label
_atom_site_fract_x
_atom_site_fract_y
_atom_site_fract_z
_atom_site_occupancy
Gd1 0.2500 0.2500 0.2500 1
Cd1 0.0000 0.0000 0.0000 1
Co1 0.0000 0.0000 0.5000 1
```

Properties
Spin magnetization ... 54.4 μB per cell
Crystal system ... cubic
Excess energy over the best structure of this formula in the dataset ... 0.105 eV per atom
Formation energy from the elements ... -126 meV/atom

***

Entry from the Alexandria database: a relaxed structure of Gd2CdCo (GGA-PBE).

Cell and atoms, written as CIF:
```
data_Gd2CdCo
_chemical_formula_sum 'Gd6 Cd3 Co3'
_space_group_name_H-M_alt 'R -3 m'
_space_group_IT_number 166
_space_group_name_Hall '-R 3 2"'
_cell_length_a 3.7947
_cell_length_b 3.7947
_cell_length_c 29.0630
_cell_angle_alpha 90.00
_cell_angle_beta 90.00
_cell_angle_gamma 120.00
loop_
_atom_site_label
_atom_site_fract_x
_atom_site_fract_y
_atom_site_fract_z
_atom_site_occupancy
Gd1 0.0000 0.0000 0.1155 1
Cd1 0.0000 0.0000 0.0000 1
Co1 0.0000 0.0000 0.5000 1
```

Properties
Spin magnetization ... 42.9 μB per cell
Crystal system ... trigonal
Excess energy over the best structure of this formula in the dataset ... 0.277 eV per atom
Formation energy from the elements ... 46 meV/atom

***

Entry from the Alexandria database: a relaxed structure of LiGdCdCo (GGA-PBE).

Cell and atoms, written as CIF:
```
data_LiGdCdCo
_chemical_formula_sum 'Li4 Gd4 Cd4 Co4'
_space_group_name_H-M_alt 'F -4 3 m'
_space_group_IT_number 216
_space_group_name_Hall 'F -4 2 3'
_cell_length_a 6.6492
_cell_length_b 6.6492
_cell_length_c 6.6492
_cell_angle_alpha 90.00
_cell_angle_beta 90.00
_cell_angle_gamma 90.00
loop_
_atom_site_label
_atom_site_fract_x
_atom_site_fract_y
_atom_site_fract_z
_atom_site_occupancy
Li1 0.0000 0.0000 0.0000 1
Gd1 0.2500 0.2500 0.2500 1
Cd1 0.2500 0.2500 0.7500 1
Co1 0.0000 0.0000 0.5000 1
```

Properties
Spin magnetization ... 28.3 μB per cell
Crystal system ... cubic
Formation energy from the elements ... -35 meV/atom

***

Entry from the Alexandria database: a relaxed structure of NdGdCdCo (GGA-PBE).

Cell and atoms, written as CIF:
```
data_NdGdCdCo
_chemical_formula_sum 'Nd4 Gd4 Cd4 Co4'
_space_group_name_H-M_alt 'F -4 3 m'
_space_group_IT_number 216
_space_group_name_Hall 'F -4 2 3'
_cell_length_a 7.2887
_cell_length_b 7.2887
_cell_length_c 7.2887
_cell_angle_alpha 90.00
_cell_angle_beta 90.00
_cell_angle_gamma 90.00
loop_
_atom_site_label
_atom_site_fract_x
_atom_site_fract_y
_atom_site_fract_z
_atom_site_occupancy
Nd1 0.0000 0.0000 0.0000 1
Gd1 0.0000 0.0000 0.5000 1
Cd1 0.2500 0.2500 0.2500 1
Co1 0.2500 0.2500 0.7500 1
```

Properties
Spin magnetization ... 26.3 μB per cell
Crystal system ... cubic
Formation energy from the elements ... -85 meV/atom

***

Entry from the Alexandria database: a relaxed structure of PrGdCdCo (GGA-PBE).

Cell and atoms, written as CIF:
```
data_PrGdCdCo
_chemical_formula_sum 'Pr4 Gd4 Cd4 Co4'
_space_group_name_H-M_alt 'F -4 3 m'
_space_group_IT_number 216
_space_group_name_Hall 'F -4 2 3'
_cell_length_a 7.3192
_cell_length_b 7.3192
_cell_length_c 7.3192
_cell_angle_alpha 90.00
_cell_angle_beta 90.00
_cell_angle_gamma 90.00
loop_
_atom_site_label
_atom_site_fract_x
_atom_site_fract_y
_atom_site_fract_z
_atom_site_occupancy
Pr1 0.0000 0.0000 0.0000 1
Gd1 0.0000 0.0000 0.5000 1
Cd1 0.2500 0.2500 0.7500 1
Co1 0.2500 0.2500 0.2500 1
```

Properties
Spin magnetization ... 26.3 μB per cell
Crystal system ... cubic
Formation energy from the elements ... -73 meV/atom

***

Entry from the Alexandria database: a relaxed structure of GdScCdCo (GGA-PBE).

Cell and atoms, written as CIF:
```
data_GdScCdCo
_chemical_formula_sum 'Gd4 Sc4 Cd4 Co4'
_space_group_name_H-M_alt 'F -4 3 m'
_space_group_IT_number 216
_space_group_name_Hall 'F -4 2 3'
_cell_length_a 6.9625
_cell_length_b 6.9625
_cell_length_c 6.9625
_cell_angle_alpha 90.00
_cell_angle_beta 90.00
_cell_angle_gamma 90.00
loop_
_atom_site_label
_atom_site_fract_x
_atom_site_fract_y
_atom_site_fract_z
_atom_site_occupancy
Gd1 0.0000 0.0000 0.0000 1
Sc1 0.0000 0.0000 0.5000 1
Cd1 0.2500 0.2500 0.2500 1
Co1 0.2500 0.2500 0.7500 1
```

Properties
Spin magnetization ... 26.2 μB per cell
Crystal system ... cubic
Formation energy from the elements ... -127 meV/atom

***

Entry from the Alexandria database: a relaxed structure of TbGdCdCo (GGA-PBE).

Cell and atoms, written as CIF:
```
data_TbGdCdCo
_chemical_formula_sum 'Tb4 Gd4 Cd4 Co4'
_space_group_name_H-M_alt 'F -4 3 m'
_space_group_IT_number 216
_space_group_name_Hall 'F -4 2 3'
_cell_length_a 7.1759
_cell_length_b 7.1759
_cell_length_c 7.1759
_cell_angle_alpha 90.00
_cell_angle_beta 90.00
_cell_angle_gamma 90.00
loop_
_atom_site_label
_atom_site_fract_x
_atom_site_fract_y
_atom_site_fract_z
_atom_site_occupancy
Tb1 0.0000 0.0000 0.0000 1
Gd1 0.0000 0.0000 0.5000 1
Cd1 0.2500 0.2500 0.7500 1
Co1 0.2500 0.2500 0.2500 1
```

Properties
Spin magnetization ... 26.1 μB per cell
Crystal system ... cubic
Formation energy from the elements ... -128 meV/atom